# Li6MnO4F

A crystal of Li6MnO4F relaxed with PBEsol (SCAN, the Alexandria database).

abc: 4.852 9.365 5.206
angles: 90.00 115.67 90.00
Space group P2_1 (No. 4)
Asymmetric unit:
Li (0.073, 0.000, 0.396) x2
Li (0.124, 0.310, 0.989) x2
Li (0.204, 0.751, 0.497) x2
Li (0.295, 0.257, 0.534) x2
Li (0.300, 0.497, 0.366) x2
Li (0.328, 0.702, 0.001) x2
Mn (0.306, 0.987, 0.984) x2
O (0.045, 0.852, 0.717) x2
O (0.145, 0.140, 0.731) x2
O (0.273, 0.501, 0.977) x2
O (0.346, 0.863, 0.283) x2
F (0.441, 0.148, 0.322) x2

## Properties
Total moment: 8.0 μB per cell
Calculated total energy: -7.29 eV per atom
Formation energy (no corrections): -2202 meV/atom
Volume: 213 Å³/cell